# 1
# MgCoSb2 | Alexandria via LeMat-Bulk | PBE | optimized geometry
# ΔE_f (raw)   1.4 kcal/mol of atoms
# Total DFT energy (no corrections)   -4.18 eV per atom
# Spin magnetization   0.00 μB/f.u.
# DOS at the Fermi energy   0.69 states/eV per atom
data_MgCoSb2
_chemical_formula_sum 'Mg1 Co1 Sb2'
_space_group_name_H-M_alt 'P m m m'
_space_group_IT_number 47
_cell_length_a 3.1842
_cell_length_b 3.2306
_cell_length_c 7.9095
_cell_angle_alpha 90.00
_cell_angle_beta 90.00
_cell_angle_gamma 90.00
loop_
_space_group_symop_operation_xyz
'x,y,z'
'-x,-y,-z'
'-x,-y,z'
'x,y,-z'
'x,-y,-z'
'-x,y,z'
'-x,y,-z'
'x,-y,z'
loop_
_atom_site_label
_atom_site_type_symbol
_atom_site_fract_x
_atom_site_fract_y
_atom_site_fract_z
_atom_site_occupancy
Mg1 Mg 0.0000 0.0000 0.0000 1
Co1 Co 0.0000 0.0000 0.5000 1
Sb1 Sb 0.5000 0.5000 0.2975 1

# 2
# MgCoSb2 | Alexandria via LeMat-Bulk | PBE | optimized geometry
# ΔE_f (raw)   -0.3 kcal/mol of atoms
# Total DFT energy (no corrections)   -4.25 eV per atom
# Spin magnetization   0.00 μB/f.u.
# DOS at the Fermi energy   0.63 states/eV per atom
data_MgCoSb2
_chemical_formula_sum 'Mg2 Co2 Sb4'
_space_group_name_H-M_alt 'I m m 2'
_space_group_IT_number 44
_cell_length_a 3.1650
_cell_length_b 4.0465
_cell_length_c 13.1051
_cell_angle_alpha 90.00
_cell_angle_beta 90.00
_cell_angle_gamma 90.00
loop_
_space_group_symop_operation_xyz
'x,y,z'
'-x,-y,z'
'-x,y,z'
'x,-y,z'
'x+1/2,y+1/2,z+1/2'
'-x+1/2,-y+1/2,z+1/2'
'-x+1/2,y+1/2,z+1/2'
'x+1/2,-y+1/2,z+1/2'
loop_
_atom_site_label
_atom_site_type_symbol
_atom_site_fract_x
_atom_site_fract_y
_atom_site_fract_z
_atom_site_occupancy
Mg1 Mg 0.0000 0.0000 0.0000 1
Co1 Co 0.0000 0.5000 0.7146 1
Sb1 Sb 0.0000 0.0000 0.3714 1
Sb2 Sb 0.0000 0.5000 0.1626 1

# 3
# MgCoSb | Alexandria via LeMat-Bulk | PBE | optimized geometry
# ΔE_f (raw)   -0.3 kcal/mol of atoms
# Total DFT energy (no corrections)   -4.29 eV per atom
# Spin magnetization   0.64 μB/f.u.
# DOS at the Fermi energy   0.53 states/eV per atom
data_MgCoSb
_chemical_formula_sum 'Mg1 Co1 Sb1'
_space_group_name_H-M_alt 'P -6 m 2'
_space_group_IT_number 187
_space_group_name_Hall 'P -6 2'
_cell_length_a 4.3034
_cell_length_b 4.3034
_cell_length_c 3.4753
_cell_angle_alpha 90.00
_cell_angle_beta 90.00
_cell_angle_gamma 120.00
loop_
_atom_site_label
_atom_site_type_symbol
_atom_site_fract_x
_atom_site_fract_y
_atom_site_fract_z
_atom_site_occupancy
Mg1 Mg 0.0000 0.0000 0.0000 1
Co1 Co 0.3333 0.6667 0.5000 1
Sb1 Sb 0.6667 0.3333 0.5000 1